(1)
Material: KIrCl
Method: DFT, PBE
State: relaxed

abc: 11.7483 4.1924 6.7430
angles: 90.00 98.83 90.00
Last column: nearest neighbours and their distance in Å.
Fractional positions:
1 Cl 0.1244 0.5000 0.3733  6 K 3.07-3.10
2 Cl 0.4656 0.0000 0.6596  1 Ir 2.40
3 Cl 0.4656 0.5000 0.1596  1 Ir 2.40
4 Cl 0.1244 0.0000 0.8733  6 K 3.07-3.10
5 K 0.9488 0.0000 0.4802  3 Cl 3.10, 1 Ir 3.46
6 K 0.2962 0.5000 0.7653  6 Cl 3.05-3.07
7 K 0.9488 0.5000 0.9802  3 Cl 3.10, 1 Ir 3.46
8 K 0.2962 0.0000 0.2653  6 Cl 3.05-3.07
9 Ir 0.6723 0.0000 0.7105  3 Ir 2.40-2.47, 1 Cl 2.40
10 Ir 0.6723 0.5000 0.2105  3 Ir 2.40-2.47, 1 Cl 2.40
11 Ir 0.7258 0.0000 0.0798  3 Ir 2.40-2.47
12 Ir 0.7258 0.5000 0.5798  3 Ir 2.40-2.47

Calculated values
SG: No. 8
Crystal system: monoclinic



(2)
Material: KIrCl
Method: DFT, PBE
State: relaxed

abc: 4.0823 4.0823 5.1156
angles: 90.00 90.00 120.00
Last column: nearest neighbours and their distance in Å.
Fractional positions:
1 K 0.3333 0.6667 0.6666  6 Ir 3.48, 6 Cl 3.48
2 Cl 0.0000 0.0000 0.1666  3 Ir 2.36
3 Ir 0.6667 0.3333 0.1669  3 Cl 2.36

Calculated values
SG: No. 187
Crystal system: hexagonal



(3)
Material: K3IrCl6
Method: DFT, PBE
State: relaxed

abc: 7.3131 7.5702 10.4649
angles: 90.00 91.25 90.00
Last column: nearest neighbours and their distance in Å.
Fractional positions:
1 Ir 0.5000 0.5000 0.5000  6 Cl 2.38
2 Ir 0.0000 0.0000 0.0000  6 Cl 2.38
3 K 0.9776 0.4279 0.7555  6 Cl 3.18-3.42
4 K 0.0224 0.5721 0.2445  6 Cl 3.18-3.42
5 K 0.5224 0.9279 0.7445  6 Cl 3.18-3.42
6 K 0.4776 0.0721 0.2555  6 Cl 3.18-3.42
7 K 0.5000 0.5000 0.0000  6 Cl 3.09-3.13
8 K 0.0000 0.0000 0.5000  6 Cl 3.09-3.13
9 Cl 0.8399 0.7361 0.9447  1 Ir 2.38
10 Cl 0.8972 0.9736 0.2130  1 Ir 2.38
11 Cl 0.3972 0.5264 0.7130  1 Ir 2.38
12 Cl 0.2641 0.8300 0.0535  1 Ir 2.38
13 Cl 0.1028 0.0264 0.7870  1 Ir 2.38
14 Cl 0.6601 0.2361 0.5553  1 Ir 2.38
15 Cl 0.3399 0.7639 0.4447  1 Ir 2.38
16 Cl 0.2359 0.3300 0.4465  1 Ir 2.38
17 Cl 0.7641 0.6700 0.5535  1 Ir 2.38
18 Cl 0.1601 0.2639 0.0553  1 Ir 2.38
19 Cl 0.6028 0.4736 0.2870  1 Ir 2.38
20 Cl 0.7359 0.1700 0.9465  1 Ir 2.38

Calculated values
SG: No. 14
Crystal system: monoclinic



(4)
Material: KIrCl2
Method: DFT, PBE
State: relaxed

abc: 6.2420 8.2312 3.1706
angles: 111.68 60.16 138.86
Last column: nearest neighbours and their distance in Å.
Fractional positions:
1 Ir 0.5000 0.5000 0.0000  4 Cl 2.71
2 Cl 0.0000 0.0000 0.0000  2 K 2.71, 2 Ir 2.71
3 Cl 0.0000 0.5000 0.5000  2 Ir 2.71, 2 K 2.71
4 K 0.5000 0.0000 0.5000  4 Cl 2.71

Calculated values
SG: No. 12
Crystal system: monoclinic



How do the records compare in magnetization? In the order shown, they have 0.00 0.00 0.00 0.85 μB/cell.
How do the records compare in uncorrected formation energy? In the order shown, they have -0.59 0.28 -1.37 0.02 eV per atom.